1.
ZnCd2Pb | the Alexandria database | SCAN | PBEsol geometry; DOS(E_F) = 0.347 states/eV/atom; ΔE_f = 0.116 eV/atom; calculated total energy = -149.66 eV per cell; space-group type = P4/mmm (123)
1.0
-2.306 2.165 -0.009
-0.710 -0.769 -2.985
-5.603 -5.956 2.868
Pb Zn Cd
1 1 2
Cartesian
-1.508 0.698 -1.497
-4.310 -2.280 -0.063
-3.967 -4.217 2.030
-1.636 -1.739 0.838


2.
Zn2CdPb2 | the Alexandria database | SCAN | PBEsol geometry; DOS(E_F) = 0.370 states/eV/atom; ΔE_f = 0.145 eV/atom; calculated total energy = -416.56 eV per cell; space-group type = P4/mbm (127)
1.0
-1.379 1.912 3.828
3.172 -5.133 3.706
5.947 3.838 0.226
Pb Zn Cd
4 4 2
Cartesian
3.889 2.647 2.719
6.355 0.648 4.606
3.851 -2.030 5.041
1.385 -0.032 3.154
6.371 1.436 1.578
6.499 -2.071 3.376
2.748 -2.731 2.354
2.620 0.776 0.556
0.000 0.000 0.000
4.559 -0.647 1.966


3.
Zn2CdPb2 | the Alexandria database | SCAN | PBEsol geometry; DOS(E_F) = 0.353 states/eV/atom; ΔE_f = 0.247 eV/atom; calculated total energy = -207.77 eV per cell; space-group type = I4/mmm (139)
1.0
4.513 0.000 0.000
0.000 4.513 0.000
-2.256 -2.256 6.022
Pb Zn Cd
2 2 1
Cartesian
0.000 2.256 3.011
2.256 0.000 3.011
0.000 0.000 4.849
2.256 2.256 1.173
0.000 0.000 0.000


4.
ZnCdPb | the Alexandria database | SCAN | PBEsol geometry; DOS(E_F) = 0.409 states/eV/atom; ΔE_f = 0.186 eV/atom; calculated total energy = -119.15 eV per cell; space-group type = P3m1 (156)
1.0
-0.025 -3.008 -1.500
1.626 -2.043 4.070
-4.757 0.419 -0.762
Cd Pb Zn
1 1 1
Cartesian
-0.004 -0.499 -0.249
-2.646 -2.404 -0.149
-0.506 -1.728 2.207


5.
Zn2CdPb | the Alexandria database | SCAN | PBEsol geometry; DOS(E_F) = 0.396 states/eV/atom; ΔE_f = 0.247 eV/atom; calculated total energy = -132.24 eV per cell; space-group type = I4/mmm (139)
1.0
4.467 0.000 0.000
0.000 4.467 0.000
-2.234 -2.234 4.105
Cd Pb Zn
1 1 2
Cartesian
2.234 2.234 0.000
0.000 0.000 0.000
2.234 0.000 2.052
0.000 2.234 2.052


6.
Zn4CdPb | the Alexandria database | SCAN | PBEsol geometry; DOS(E_F) = 0.314 states/eV/atom; ΔE_f = 0.139 eV/atom; calculated total energy = -159.42 eV per cell; space-group type = F-43m (216)
1.0
-0.479 -4.211 3.259
0.125 -4.956 -2.000
4.216 -3.153 0.931
Pb Zn Cd
1 4 1
Cartesian
0.000 0.000 0.000
1.450 -4.625 0.822
3.551 -6.196 1.286
1.211 -6.723 2.447
1.512 -7.095 -0.175
2.896 -9.240 1.642


7.
ZrCd2Pb | the Alexandria database | SCAN | PBEsol geometry; DOS(E_F) = 0.368 states/eV/atom; ΔE_f = -0.195 eV/atom; calculated total energy = -168.09 eV per cell; space-group type = P4/mmm (123)
1.0
-4.286 0.449 0.253
0.008 -2.060 3.793
0.553 4.041 2.194
Pb Zr Cd
1 1 2
Cartesian
-1.863 1.215 3.120
0.276 2.021 1.097
0.004 -1.030 1.897
-2.143 0.225 0.126


8.
Zr3CdPb | the Alexandria database | SCAN | PBEsol geometry; DOS(E_F) = 0.868 states/eV/atom; ΔE_f = 0.871 eV/atom; calculated total energy = -193.94 eV per cell; space-group type = Pm-3m (221)
1.0
-4.387 -2.626 -1.396
1.509 0.179 -5.078
2.563 -4.601 0.599
Pb Zr Cd
1 3 1
Cartesian
0.000 0.000 0.000
0.754 0.090 -2.539
1.281 -2.300 0.299
-2.194 -1.313 -0.698
-0.158 -3.523 -2.938